Entry from Alexandria: a relaxed BaTbPdSe3 crystal (PBE).

Cell lengths 8.739, 4.257, 9.479 Å; angles 90.00, 105.73, 90.00 degrees
Space group P2_1/m (No. 11)
Asymmetric unit:
Ba 0.193 0.250 0.239 [2 per cell]
Tb 0.319 0.750 0.841 [2 per cell]
Pd 0.094 0.250 0.577 [2 per cell]
Se 0.108 0.250 0.872 [2 per cell]
Se 0.220 0.750 0.524 [2 per cell]
Se 0.450 0.750 0.161 [2 per cell]

Calculated values
The calculation puts the magnetization at 0.00 Bohr magnetons per cell. The calculated density comes out at 6.26 g/cm³. For the formation energy without anion corrections, the calculation gives -887 kJ/mol of formula units. The total energy is -5.232 eV per atom.